A PBEsol-optimized structure of LiYPb2, computed with SCAN.

## Properties
crystal system	monoclinic

abc: 3.5874 5.1999 6.1272
angles: 108.20 107.02 90.00
With the nearest neighbours (Å) after each atom.
Element x y z (fractional)
Pb: 0.7473 0.3313 0.4946  4 Li 3.09-3.23, 3 Y 3.18-3.28, 2 Pb 3.42
Li: 0.2553 0.8205 0.5106  7 Pb 3.09-3.33, 1 Y 3.42
Pb: 0.0063 0.9285 0.0126  3 Li 3.15-3.33, 4 Y 3.15-3.17, 2 Pb 3.42
Y: 0.4911 0.4198 0.9822  7 Pb 3.15-3.28, 1 Li 3.42

A PBEsol-optimized structure of LiYPb2, computed with SCAN.

## Properties
crystal system	tetragonal

abc: 3.6186 5.2937 5.2937
angles: 90.00 90.00 90.00
With the nearest neighbours (Å) after each atom.
Element x y z (fractional)
Pb: 0.5000 0.0000 0.5000  4 Y 3.21, 4 Li 3.21
Pb: 0.5000 0.5000 0.0000  4 Y 3.21, 4 Li 3.21
Li: 0.0000 0.0000 0.0000  8 Pb 3.21
Y: 0.0000 0.5000 0.5000  8 Pb 3.21

Number 1: formation energy from the elements -494 meV per atom. Number 2: formation energy from the elements -576 meV per atom.